## P
First-principles (PBE-GGA) data for a relaxed structure of YScRh, as listed in Alexandria via LeMat-Bulk.

SG: P3m1
Fermi-level density of states: 1.112 states/eV per atom
Crystal system: trigonal

abc: 4.532 4.532 3.713
angles: 90.00 90.00 120.00
Atoms (fractional coordinates):
Y  0.333  0.667  0.710
Sc  0.667  0.333  0.246
Rh  0.000  0.000  0.044


## Q
First-principles (PBE-GGA) data for a relaxed structure of YScRh, as listed in Alexandria via LeMat-Bulk.

SG: F-43m
Fermi-level density of states: 1.301 states/eV per atom
Crystal system: cubic

abc: 4.628 4.628 4.628
angles: 60.00 60.00 60.00
Atoms (fractional coordinates):
Rh  0.000  0.000  0.000
Y  0.750  0.750  0.750
Sc  0.500  0.500  0.500


Least stable structure: Q


## P
First-principles (PBE-GGA) data for a relaxed structure of YScRh, as listed in Alexandria via LeMat-Bulk.

SG: F-43m
Fermi-level density of states: 1.128 states/eV per atom
Crystal system: cubic

abc: 4.676 4.676 4.676
angles: 60.00 60.00 60.00
Atoms (fractional coordinates):
Y  0.500  0.500  0.500
Sc  0.000  0.000  0.000
Rh  0.750  0.750  0.750


## Q
First-principles (PBE-GGA) data for a relaxed structure of YScRh, as listed in Alexandria via LeMat-Bulk.

SG: P-62m
Fermi-level density of states: 1.298 states/eV per atom
Crystal system: hexagonal

abc: 7.119 9.054 8.440
angles: 122.44 114.94 90.00
Atoms (fractional coordinates):
Rh  0.753  0.750  0.000
Y  0.165  0.456  0.412
Sc  0.010  0.000  0.000
Rh  0.087  0.833  0.667
Y  0.165  0.956  0.412
Sc  0.010  0.500  0.000
Sc  0.497  0.872  0.744
Y  0.753  0.544  0.588
Sc  0.753  0.128  0.256
Rh  0.087  0.333  0.667
Sc  0.497  0.372  0.744
Sc  0.753  0.628  0.256
Rh  0.420  0.167  0.333
Rh  0.420  0.667  0.333
Y  0.753  0.044  0.588
Y  0.342  0.750  0.000
Y  0.342  0.250  0.000
Rh  0.753  0.250  0.000


Least stable structure: P


## P
First-principles (PBE-GGA) data for a relaxed structure of Y3ScRh, as listed in Alexandria via LeMat-Bulk.

SG: C2/m
Fermi-level density of states: 1.275 states/eV per atom
Crystal system: monoclinic

abc: 7.174 7.174 7.167
angles: 109.51 113.00 106.02
Atoms (fractional coordinates):
Y  0.285  0.552  0.838
Y  0.715  0.448  0.162
Rh  0.382  0.242  0.624
Sc  0.699  0.052  0.750
Sc  0.301  0.948  0.250
Rh  0.618  0.758  0.376
Y  0.161  0.957  0.725
Y  0.839  0.043  0.275
Y  0.233  0.436  0.275
Y  0.767  0.564  0.725


## Q
First-principles (PBE-GGA) data for a relaxed structure of Y3ScRh, as listed in Alexandria via LeMat-Bulk.

SG: Pm-3m
Fermi-level density of states: 1.654 states/eV per atom
Crystal system: cubic

abc: 5.239 5.239 5.239
angles: 90.00 90.00 90.00
Atoms (fractional coordinates):
Y  0.500  0.000  0.000
Y  0.000  0.000  0.500
Rh  0.500  0.500  0.500
Sc  0.000  0.000  0.000
Y  0.000  0.500  0.000


Least stable structure: Q


## P
First-principles (PBE-GGA) data for a relaxed structure of Y2Sc2Rh, as listed in Alexandria via LeMat-Bulk.

SG: P4/mbm
Fermi-level density of states: 1.470 states/eV per atom
Crystal system: tetragonal

abc: 6.795 6.795 5.399
angles: 90.00 90.00 90.00
Atoms (fractional coordinates):
Sc  0.655  0.155  0.000
Y  0.830  0.330  0.500
Rh  0.500  0.500  0.000
Y  0.330  0.170  0.500
Sc  0.155  0.345  0.000
Sc  0.345  0.845  0.000
Y  0.670  0.830  0.500
Rh  0.000  0.000  0.000
Y  0.170  0.670  0.500
Sc  0.845  0.655  0.000


## Q
First-principles (PBE-GGA) data for a relaxed structure of Y2Sc2Rh, as listed in Alexandria via LeMat-Bulk.

SG: C2/c
Fermi-level density of states: 1.212 states/eV per atom
Crystal system: monoclinic

abc: 6.660 6.818 6.684
angles: 104.72 90.00 119.24
Atoms (fractional coordinates):
Sc  0.219  0.227  0.978
Sc  0.008  0.227  0.478
Rh  0.201  0.000  0.250
Sc  0.781  0.773  0.022
Sc  0.992  0.773  0.522
Y  0.745  0.298  0.103
Y  0.553  0.298  0.603
Y  0.255  0.702  0.897
Rh  0.799  0.000  0.750
Y  0.447  0.702  0.397


Least stable structure: P


## P
First-principles (PBE-GGA) data for a relaxed structure of Y2ScRh2, as listed in Alexandria via LeMat-Bulk.

SG: C2/m
Fermi-level density of states: 0.677 states/eV per atom
Crystal system: monoclinic

abc: 4.137 5.722 5.722
angles: 63.47 68.99 68.99
Atoms (fractional coordinates):
Rh  0.000  0.769  0.731
Rh  0.000  0.231  0.269
Y  0.300  0.199  0.699
Sc  0.500  0.500  0.000
Y  0.700  0.801  0.301


## Q
First-principles (PBE-GGA) data for a relaxed structure of Y2ScRh2, as listed in Alexandria via LeMat-Bulk.

SG: P4/mbm
Fermi-level density of states: 0.801 states/eV per atom
Crystal system: tetragonal

abc: 7.289 7.289 4.107
angles: 90.00 90.00 90.00
Atoms (fractional coordinates):
Rh  0.362  0.862  0.000
Y  0.832  0.332  0.500
Y  0.332  0.168  0.500
Sc  0.500  0.500  0.000
Rh  0.638  0.138  0.000
Sc  0.000  0.000  0.000
Rh  0.862  0.638  0.000
Y  0.168  0.668  0.500
Y  0.668  0.832  0.500
Rh  0.138  0.362  0.000


Least stable structure: Q


## P
First-principles (PBE-GGA) data for a relaxed structure of ScZnRh3, as listed in Alexandria via LeMat-Bulk.

SG: Pm-3m
Fermi-level density of states: 1.438 states/eV per atom
Crystal system: cubic

abc: 4.522 4.522 4.522
angles: 90.00 90.00 90.00
Atoms (fractional coordinates):
Sc  0.500  0.500  0.500
Zn  0.000  0.000  0.000
Rh  0.000  0.000  0.500
Rh  0.500  0.000  0.000
Rh  0.000  0.500  0.000


## Q
First-principles (PBE-GGA) data for a relaxed structure of ScZnRh3, as listed in Alexandria via LeMat-Bulk.

SG: P6_3/mmc
Fermi-level density of states: 1.175 states/eV per atom
Crystal system: hexagonal

abc: 4.767 6.317 6.317
angles: 120.00 90.00 90.00
Atoms (fractional coordinates):
Rh  0.750  0.196  0.804
Rh  0.250  0.392  0.196
Sc  0.750  0.666  0.334
Rh  0.750  0.196  0.392
Sc  0.250  0.334  0.666
Rh  0.250  0.804  0.608
Zn  0.000  0.000  0.000
Zn  0.500  0.000  0.000
Rh  0.250  0.804  0.196
Rh  0.750  0.608  0.804


## R
First-principles (PBE-GGA) data for a relaxed structure of ScZnRh3, as listed in Alexandria via LeMat-Bulk.

SG: Pm-3m
Fermi-level density of states: 1.179 states/eV per atom
Crystal system: cubic

abc: 4.624 4.624 4.624
angles: 90.00 90.00 90.00
Atoms (fractional coordinates):
Rh  0.000  0.000  0.500
Rh  0.500  0.000  0.000
Rh  0.000  0.500  0.000
Sc  0.000  0.000  0.000
Zn  0.500  0.500  0.500


Least stable structure: R


## P
First-principles (PBE-GGA) data for a relaxed structure of Sc4ZnRh, as listed in Alexandria via LeMat-Bulk.

SG: C2/m
Fermi-level density of states: 1.579 states/eV per atom
Crystal system: monoclinic

abc: 4.558 4.559 6.476
angles: 89.88 89.94 90.00
Atoms (fractional coordinates):
Rh  0.001  0.997  0.498
Zn  0.501  0.497  0.998
Sc  0.002  0.498  0.740
Sc  0.501  0.997  0.256
Sc  0.502  0.998  0.740
Sc  0.001  0.497  0.256


## Q
First-principles (PBE-GGA) data for a relaxed structure of Sc4ZnRh, as listed in Alexandria via LeMat-Bulk.

SG: F-43m
Fermi-level density of states: 1.244 states/eV per atom
Crystal system: cubic

abc: 5.542 5.542 5.542
angles: 60.00 60.00 60.00
Atoms (fractional coordinates):
Sc  0.374  0.374  0.879
Sc  0.374  0.879  0.374
Rh  0.000  0.000  0.000
Zn  0.750  0.750  0.750
Sc  0.374  0.374  0.374
Sc  0.879  0.374  0.374


## R
First-principles (PBE-GGA) data for a relaxed structure of Sc4ZnRh, as listed in Alexandria via LeMat-Bulk.

SG: F-43m
Fermi-level density of states: 0.957 states/eV per atom
Crystal system: cubic

abc: 8.834 8.834 8.834
angles: 60.00 60.00 60.00
Atoms (fractional coordinates):
Zn  0.168  0.168  0.495
Sc  0.388  0.388  0.835
Sc  0.814  0.186  0.186
Sc  0.939  0.939  0.561
Sc  0.561  0.561  0.939
Rh  0.601  0.601  0.601
Sc  0.186  0.186  0.814
Zn  0.495  0.168  0.168
Zn  0.168  0.495  0.168
Sc  0.814  0.814  0.186
Sc  0.814  0.186  0.814
Rh  0.197  0.601  0.601
Sc  0.388  0.388  0.388
Sc  0.388  0.835  0.388
Sc  0.561  0.939  0.561
Sc  0.835  0.388  0.388
Sc  0.186  0.814  0.186
Sc  0.561  0.939  0.939
Sc  0.939  0.561  0.939
Sc  0.939  0.561  0.561
Zn  0.168  0.168  0.168
Sc  0.186  0.814  0.814
Rh  0.601  0.197  0.601
Rh  0.601  0.601  0.197


Least stable structure: Q


## P
First-principles (PBE-GGA) data for a relaxed structure of Sc8Zn2Rh, as listed in Alexandria via LeMat-Bulk.

SG: C2/m
Fermi-level density of states: 1.125 states/eV per atom
Crystal system: monoclinic

abc: 5.154 7.610 7.610
angles: 118.02 102.84 102.84
Atoms (fractional coordinates):
Sc  0.368  0.902  0.669
Sc  0.208  0.370  0.370
Sc  0.633  0.338  0.104
Sc  0.633  0.104  0.338
Zn  0.499  0.703  0.302
Sc  0.000  0.202  0.805
Rh  0.000  0.003  0.003
Sc  0.792  0.636  0.636
Zn  0.499  0.302  0.703
Sc  0.000  0.805  0.202
Sc  0.368  0.669  0.902


## Q
First-principles (PBE-GGA) data for a relaxed structure of Sc8Zn2Rh, as listed in Alexandria via LeMat-Bulk.

SG: C2/m
Fermi-level density of states: 0.938 states/eV per atom
Crystal system: monoclinic

abc: 4.808 6.388 8.388
angles: 109.30 106.66 90.00
Atoms (fractional coordinates):
Sc  0.023  0.782  0.046
Sc  0.195  0.296  0.391
Sc  0.338  0.038  0.677
Sc  0.593  0.440  0.185
Sc  0.407  0.560  0.815
Zn  0.820  0.298  0.640
Sc  0.662  0.962  0.323
Rh  0.500  0.000  0.000
Zn  0.180  0.702  0.360
Sc  0.805  0.704  0.609
Sc  0.977  0.218  0.954


Least stable structure: P


## P
First-principles (PBE-GGA) data for a relaxed structure of ScZn2Rh3, as listed in Alexandria via LeMat-Bulk.

SG: P-3m1
Fermi-level density of states: 0.481 states/eV per atom
Crystal system: trigonal

abc: 4.367 4.367 10.679
angles: 90.00 90.00 120.00
Atoms (fractional coordinates):
Rh  0.667  0.333  0.583
Rh  0.667  0.333  0.079
Zn  0.000  0.000  0.000
Rh  0.333  0.667  0.921
Zn  0.000  0.000  0.500
Zn  0.333  0.667  0.165
Zn  0.667  0.333  0.835
Sc  0.333  0.667  0.670
Rh  0.000  0.000  0.244
Rh  0.333  0.667  0.417
Rh  0.000  0.000  0.756
Sc  0.667  0.333  0.330


## Q
First-principles (PBE-GGA) data for a relaxed structure of ScZn2Rh3, as listed in Alexandria via LeMat-Bulk.

SG: P-3m1
Fermi-level density of states: 0.402 states/eV per atom
Crystal system: trigonal

abc: 4.381 4.381 5.297
angles: 90.00 90.00 120.00
Atoms (fractional coordinates):
Sc  0.000  0.000  0.000
Zn  0.667  0.333  0.327
Zn  0.333  0.667  0.673
Rh  0.333  0.667  0.181
Rh  0.667  0.333  0.819
Rh  0.000  0.000  0.500


Least stable structure: P


## P
First-principles (PBE-GGA) data for a relaxed structure of ZrSc4Rh, as listed in Alexandria via LeMat-Bulk.

SG: F-43m
Fermi-level density of states: 1.891 states/eV per atom
Crystal system: cubic

abc: 5.681 5.681 5.681
angles: 60.00 60.00 60.00
Atoms (fractional coordinates):
Sc  0.874  0.375  0.375
Zr  0.750  0.750  0.750
Sc  0.375  0.375  0.874
Sc  0.375  0.375  0.375
Sc  0.375  0.874  0.375
Rh  0.000  0.000  0.000


## Q
First-principles (PBE-GGA) data for a relaxed structure of ZrSc4Rh, as listed in Alexandria via LeMat-Bulk.

SG: P4/mmm
Fermi-level density of states: 1.123 states/eV per atom
Crystal system: tetragonal

abc: 3.251 3.251 12.410
angles: 90.00 90.00 90.00
Atoms (fractional coordinates):
Sc  0.000  0.000  0.373
Sc  0.000  0.000  0.627
Zr  0.000  0.000  0.000
Rh  0.500  0.500  0.500
Sc  0.500  0.500  0.825
Sc  0.500  0.500  0.175


## R
First-principles (PBE-GGA) data for a relaxed structure of ZrSc4Rh, as listed in Alexandria via LeMat-Bulk.

SG: C2/m
Fermi-level density of states: 0.995 states/eV per atom
Crystal system: monoclinic

abc: 3.345 5.737 7.768
angles: 106.41 102.46 106.92
Atoms (fractional coordinates):
Sc  0.229  0.589  0.361
Sc  0.774  0.405  0.635
Rh  0.001  0.997  0.498
Sc  0.638  0.964  0.804
Sc  0.365  0.030  0.192
Zr  0.501  0.497  0.998


Least stable structure: P